First-principles (PBE) data for SmZn9Pd2 after structural relaxation, as listed in the Alexandria database. Values from VASP.

Geometry as Quantum ESPRESSO input:
```
&SYSTEM
  ibrav = 0, nat = 12, ntyp = 3
/
ATOMIC_SPECIES
Sm 150.36 Sm.upf
Zn 65.41 Zn.upf
Pd 106.42 Pd.upf
CELL_PARAMETERS angstrom
8.748 0.000 0.000
-4.374 7.576 0.000
0.000 0.000 3.011
ATOMIC_POSITIONS crystal
Sm 0.000 0.000 0.000
Zn 0.000 0.500 0.000
Zn 0.185 0.370 0.500
Zn 0.185 0.815 0.500
Zn 0.370 0.185 0.500
Zn 0.500 0.000 0.000
Zn 0.500 0.500 0.000
Zn 0.630 0.815 0.500
Zn 0.815 0.185 0.500
Zn 0.815 0.630 0.500
Pd 0.333 0.667 0.000
Pd 0.667 0.333 0.000
```

## Properties
The formation energy is -0.272 eV/atom. The space group is P6/mmm (191). The value obtained for the total energy is -29.83 eV/cell. For the spin magnetization, the calculation gives 0.00 μB/f.u.

First-principles (PBE) data for Sm3Zn7Pd2 after structural relaxation, as listed in the Alexandria database. Values from VASP.

Geometry as Quantum ESPRESSO input:
```
&SYSTEM
  ibrav = 0, nat = 12, ntyp = 3
/
ATOMIC_SPECIES
Sm 150.36 Sm.upf
Zn 65.41 Zn.upf
Pd 106.42 Pd.upf
CELL_PARAMETERS angstrom
2.731 1.577 8.770
-2.731 1.577 8.770
0.000 -3.154 8.770
ATOMIC_POSITIONS crystal
Sm 0.000 0.000 0.000
Sm 0.145 0.145 0.145
Sm 0.855 0.855 0.855
Zn 0.081 0.581 0.581
Zn 0.419 0.419 0.919
Zn 0.419 0.919 0.419
Zn 0.500 0.500 0.500
Zn 0.581 0.081 0.581
Zn 0.581 0.581 0.081
Zn 0.919 0.419 0.419
Pd 0.334 0.334 0.334
Pd 0.666 0.666 0.666
```

## Properties
The formation energy is -0.443 eV/atom. The space group is R-3m (166). The value obtained for the total energy is -38.77 eV/cell. For the spin magnetization, the calculation gives 0.00 μB/f.u.

First-principles (PBE) data for Sm2Zn5Pd after structural relaxation, as listed in the Alexandria database. Values from VASP.

Geometry as Quantum ESPRESSO input:
```
&SYSTEM
  ibrav = 0, nat = 16, ntyp = 3
/
ATOMIC_SPECIES
Sm 150.36 Sm.upf
Zn 65.41 Zn.upf
Pd 106.42 Pd.upf
CELL_PARAMETERS angstrom
2.132 -8.154 0.000
2.132 8.154 0.000
0.000 0.000 9.040
ATOMIC_POSITIONS crystal
Sm 0.000 0.000 0.000
Sm 0.000 0.000 0.500
Sm 0.190 0.810 0.750
Sm 0.810 0.190 0.250
Zn 0.191 0.809 0.109
Zn 0.191 0.809 0.391
Zn 0.350 0.650 0.020
Zn 0.350 0.650 0.480
Zn 0.395 0.605 0.750
Zn 0.605 0.395 0.250
Zn 0.650 0.350 0.520
Zn 0.650 0.350 0.980
Zn 0.809 0.191 0.609
Zn 0.809 0.191 0.891
Pd 0.448 0.552 0.250
Pd 0.552 0.448 0.750
```

## Properties
The formation energy is -0.433 eV/atom. The space group is Cmcm (63). The value obtained for the total energy is -48.92 eV/cell. For the spin magnetization, the calculation gives 0.00 μB/f.u.

First-principles (PBE) data for SmZn4Pd2 after structural relaxation, as listed in the Alexandria database. Values from VASP.

Geometry as Quantum ESPRESSO input:
```
&SYSTEM
  ibrav = 0, nat = 14, ntyp = 3
/
ATOMIC_SPECIES
Sm 150.36 Sm.upf
Zn 65.41 Zn.upf
Pd 106.42 Pd.upf
CELL_PARAMETERS angstrom
7.576 0.000 0.000
0.000 7.576 0.000
0.000 0.000 4.265
ATOMIC_POSITIONS crystal
Sm 0.000 0.000 0.000
Sm 0.500 0.500 0.500
Zn 0.096 0.352 0.500
Zn 0.148 0.596 0.000
Zn 0.352 0.096 0.500
Zn 0.404 0.852 0.000
Zn 0.596 0.148 0.000
Zn 0.648 0.904 0.500
Zn 0.852 0.404 0.000
Zn 0.904 0.648 0.500
Pd 0.219 0.781 0.500
Pd 0.281 0.281 0.000
Pd 0.719 0.719 0.000
Pd 0.781 0.219 0.500
```

## Properties
The formation energy is -0.535 eV/atom. The space group is P4_2/mnm (136). The value obtained for the total energy is -47.89 eV/cell. For the spin magnetization, the calculation gives 0.00 μB/f.u.

First-principles (PBE) data for Sm6ZnPd2 after structural relaxation, as listed in the Alexandria database. Values from VASP.

Geometry as Quantum ESPRESSO input:
```
&SYSTEM
  ibrav = 0, nat = 18, ntyp = 3
/
ATOMIC_SPECIES
Sm 150.36 Sm.upf
Zn 65.41 Zn.upf
Pd 106.42 Pd.upf
CELL_PARAMETERS angstrom
-4.796 4.953 5.235
4.796 -4.953 5.235
4.796 4.953 -5.235
ATOMIC_POSITIONS crystal
Sm 0.052 0.242 0.811
Sm 0.177 0.282 0.459
Sm 0.177 0.718 0.895
Sm 0.329 0.029 0.700
Sm 0.329 0.629 0.300
Sm 0.431 0.242 0.189
Sm 0.569 0.758 0.811
Sm 0.671 0.371 0.700
Sm 0.671 0.971 0.300
Sm 0.823 0.282 0.105
Sm 0.823 0.718 0.541
Sm 0.948 0.758 0.189
Zn 0.000 0.000 0.000
Zn 0.500 0.500 0.000
Pd 0.132 0.632 0.500
Pd 0.343 0.000 0.343
Pd 0.657 0.000 0.657
Pd 0.868 0.368 0.500
```

## Properties
The formation energy is -0.427 eV/atom. The space group is Immm (71). The value obtained for the total energy is -87.64 eV/cell. For the spin magnetization, the calculation gives 0.00 μB/f.u.

First-principles (PBE) data for SmZn3Pd9 after structural relaxation, as listed in the Alexandria database. Values from VASP.

Geometry as Quantum ESPRESSO input:
```
&SYSTEM
  ibrav = 0, nat = 13, ntyp = 3
/
ATOMIC_SPECIES
Sm 150.36 Sm.upf
Zn 65.41 Zn.upf
Pd 106.42 Pd.upf
CELL_PARAMETERS angstrom
2.601 -6.437 0.000
2.601 6.437 0.000
-2.333 0.000 6.301
ATOMIC_POSITIONS crystal
Sm 0.000 0.000 0.000
Zn 0.000 0.500 0.000
Zn 0.500 0.000 0.000
Zn 0.500 0.500 0.500
Pd 0.000 0.000 0.500
Pd 0.018 0.665 0.660
Pd 0.287 0.509 0.783
Pd 0.335 0.982 0.340
Pd 0.491 0.713 0.217
Pd 0.509 0.287 0.783
Pd 0.665 0.018 0.660
Pd 0.713 0.491 0.217
Pd 0.982 0.335 0.340
```

## Properties
The formation energy is -0.499 eV/atom. The space group is C2/m (12). The value obtained for the total energy is -61.76 eV/cell. For the spin magnetization, the calculation gives 0.00 μB/f.u.

First-principles (PBE) data for SmZnPd6 after structural relaxation, as listed in the Alexandria database. Values from VASP.

Geometry as Quantum ESPRESSO input:
```
&SYSTEM
  ibrav = 0, nat = 8, ntyp = 3
/
ATOMIC_SPECIES
Sm 150.36 Sm.upf
Zn 65.41 Zn.upf
Pd 106.42 Pd.upf
CELL_PARAMETERS angstrom
3.946 0.000 0.000
0.000 3.946 0.000
0.000 0.000 9.483
ATOMIC_POSITIONS crystal
Sm 0.000 0.000 0.000
Zn 0.000 0.000 0.500
Pd 0.000 0.500 0.330
Pd 0.000 0.500 0.670
Pd 0.500 0.000 0.330
Pd 0.500 0.000 0.670
Pd 0.500 0.500 0.136
Pd 0.500 0.500 0.864
```

## Properties
The formation energy is -0.321 eV/atom. The space group is P4/mmm (123). The value obtained for the total energy is -39.72 eV/cell. For the spin magnetization, the calculation gives 0.00 μB/f.u.

First-principles (PBE) data for Sm3Zn2Pd after structural relaxation, as listed in the Alexandria database. Values from VASP.

Geometry as Quantum ESPRESSO input:
```
&SYSTEM
  ibrav = 0, nat = 6, ntyp = 3
/
ATOMIC_SPECIES
Sm 150.36 Sm.upf
Zn 65.41 Zn.upf
Pd 106.42 Pd.upf
CELL_PARAMETERS angstrom
5.112 0.000 0.000
-2.556 4.427 0.000
0.000 0.000 6.302
ATOMIC_POSITIONS crystal
Sm 0.000 0.000 0.000
Sm 0.333 0.667 0.657
Sm 0.667 0.333 0.343
Zn 0.333 0.667 0.148
Zn 0.667 0.333 0.852
Pd 0.000 0.000 0.500
```

## Properties
The formation energy is -0.476 eV/atom. The space group is P-3m1 (164). The value obtained for the total energy is -24.75 eV/cell. For the spin magnetization, the calculation gives 0.00 μB/f.u.

Which value of spin magnetization does entry 7 give? 0.00 μB/f.u.

Which value of spin magnetization does entry 4 give? 0.00 μB/f.u.

Please write out number 3 again, unchanged.
First-principles (PBE) data for Sm2Zn5Pd after structural relaxation, as listed in the Alexandria database. Values from VASP.

Geometry as Quantum ESPRESSO input:
```
&SYSTEM
  ibrav = 0, nat = 16, ntyp = 3
/
ATOMIC_SPECIES
Sm 150.36 Sm.upf
Zn 65.41 Zn.upf
Pd 106.42 Pd.upf
CELL_PARAMETERS angstrom
2.132 -8.154 0.000
2.132 8.154 0.000
0.000 0.000 9.040
ATOMIC_POSITIONS crystal
Sm 0.000 0.000 0.000
Sm 0.000 0.000 0.500
Sm 0.190 0.810 0.750
Sm 0.810 0.190 0.250
Zn 0.191 0.809 0.109
Zn 0.191 0.809 0.391
Zn 0.350 0.650 0.020
Zn 0.350 0.650 0.480
Zn 0.395 0.605 0.750
Zn 0.605 0.395 0.250
Zn 0.650 0.350 0.520
Zn 0.650 0.350 0.980
Zn 0.809 0.191 0.609
Zn 0.809 0.191 0.891
Pd 0.448 0.552 0.250
Pd 0.552 0.448 0.750
```

## Properties
The formation energy is -0.433 eV/atom. The space group is Cmcm (63). The value obtained for the total energy is -48.92 eV/cell. For the spin magnetization, the calculation gives 0.00 μB/f.u.